The following is a GGA-PBE calculation of a geometry-optimized TaHg2Te structure, from the Alexandria database.

Structure (CIF):
```
data_TaHg2Te
_cell_length_a 7.0887
_cell_length_b 7.0887
_cell_length_c 7.0887
_cell_angle_alpha 90.00
_cell_angle_beta 90.00
_cell_angle_gamma 90.00
_symmetry_space_group_name_H-M 'F -4 3 m'
_symmetry_Int_Tables_number 216
_symmetry_space_group_name_Hall 'F -4 2 3'
loop_
_atom_site_label
_atom_site_fract_x
_atom_site_fract_y
_atom_site_fract_z
Ta1 0.0000 0.0000 0.0000
Hg1 0.0000 0.0000 0.5000
Hg2 0.2500 0.2500 0.7500
Te1 0.2500 0.2500 0.2500
```

Calculated values
Crystal system: cubic
Formation energy from raw total energies in eV/atom: 0.61

---

The following is a GGA-PBE calculation of a geometry-optimized Ti3SiSn structure, from the Alexandria database.

Structure (CIF):
```
data_Ti3SiSn
_cell_length_a 4.9835
_cell_length_b 4.9835
_cell_length_c 4.9835
_cell_angle_alpha 90.00
_cell_angle_beta 90.00
_cell_angle_gamma 90.00
_symmetry_space_group_name_H-M 'P m -3 m'
_symmetry_Int_Tables_number 221
_symmetry_space_group_name_Hall '-P 4 2 3'
loop_
_atom_site_label
_atom_site_fract_x
_atom_site_fract_y
_atom_site_fract_z
Ti1 0.0000 0.0000 0.5000
Si1 0.5000 0.5000 0.5000
Sn1 0.0000 0.0000 0.0000
```

Calculated values
Offset from the most stable computed form in eV/atom: 1.110
Crystal system: cubic
Formation energy from raw total energies in eV/atom: 1.10

---

The following is a GGA-PBE calculation of a geometry-optimized Ce8GeRu6 structure, from the Alexandria database.

Structure (CIF):
```
data_Ce8GeRu6
_cell_length_a 10.1940
_cell_length_b 10.1940
_cell_length_c 12.3298
_cell_angle_alpha 90.00
_cell_angle_beta 90.00
_cell_angle_gamma 120.00
_symmetry_space_group_name_H-M 'R -3'
_symmetry_Int_Tables_number 148
_symmetry_space_group_name_Hall '-R 3'
loop_
_atom_site_label
_atom_site_fract_x
_atom_site_fract_y
_atom_site_fract_z
Ce1 0.0000 0.0000 0.2304
Ce2 0.0044 0.6548 0.7193
Ge1 0.0000 0.0000 0.0000
Ru1 0.0107 0.8358 0.5925
```

Calculated values
Total DFT energy (no corrections) in eV per atom: -7.45
Crystal system: trigonal

---

The following is a GGA-PBE calculation of a geometry-optimized HgPt3 structure, from the Alexandria database.

Structure (CIF):
```
data_HgPt3
_cell_length_a 5.8636
_cell_length_b 8.0159
_cell_length_c 2.8568
_cell_angle_alpha 90.00
_cell_angle_beta 90.00
_cell_angle_gamma 90.00
_symmetry_space_group_name_H-M 'C m m m'
_symmetry_Int_Tables_number 65
_symmetry_space_group_name_Hall '-C 2 2'
loop_
_atom_site_label
_atom_site_fract_x
_atom_site_fract_y
_atom_site_fract_z
Hg1 0.0000 0.0000 0.0000
Pt1 0.0000 0.5000 0.0000
Pt2 0.2500 0.2500 0.5000
```

Calculated values
Total DFT energy (no corrections) in eV per atom: -4.58
Crystal system: orthorhombic

---

The following is a GGA-PBE calculation of a geometry-optimized Sc4CoPt structure, from the Alexandria database.

Structure (CIF):
```
data_Sc4CoPt
_cell_length_a 7.6873
_cell_length_b 7.6873
_cell_length_c 7.6873
_cell_angle_alpha 90.00
_cell_angle_beta 90.00
_cell_angle_gamma 90.00
_symmetry_space_group_name_H-M 'F -4 3 m'
_symmetry_Int_Tables_number 216
_symmetry_space_group_name_Hall 'F -4 2 3'
loop_
_atom_site_label
_atom_site_fract_x
_atom_site_fract_y
_atom_site_fract_z
Sc1 0.1245 0.1245 0.3755
Co1 0.0000 0.0000 0.0000
Pt1 0.2500 0.2500 0.7500
```

Calculated values
Offset from the most stable computed form in eV/atom: 0.917
Crystal system: cubic

---

The following is a GGA-PBE calculation of a geometry-optimized ScTl2Ru structure, from the Alexandria database.

Structure (CIF):
```
data_ScTl2Ru
_cell_length_a 6.8160
_cell_length_b 6.8160
_cell_length_c 6.8160
_cell_angle_alpha 90.00
_cell_angle_beta 90.00
_cell_angle_gamma 90.00
_symmetry_space_group_name_H-M 'F m -3 m'
_symmetry_Int_Tables_number 225
_symmetry_space_group_name_Hall '-F 4 2 3'
loop_
_atom_site_label
_atom_site_fract_x
_atom_site_fract_y
_atom_site_fract_z
Sc1 0.0000 0.0000 0.0000
Tl1 0.2500 0.2500 0.2500
Ru1 0.0000 0.0000 0.5000
```

Calculated values
Offset from the most stable computed form in eV/atom: 0.111
Crystal system: cubic

---

The following is a GGA-PBE calculation of a geometry-optimized ReRh structure, from the Alexandria database.

Structure (CIF):
```
data_ReRh
_cell_length_a 2.7524
_cell_length_b 2.7524
_cell_length_c 26.7227
_cell_angle_alpha 90.00
_cell_angle_beta 90.00
_cell_angle_gamma 120.00
_symmetry_space_group_name_H-M 'R -3 m'
_symmetry_Int_Tables_number 166
_symmetry_space_group_name_Hall '-R 3 2"'
loop_
_atom_site_label
_atom_site_fract_x
_atom_site_fract_y
_atom_site_fract_z
Re1 0.0000 0.0000 0.1239
Rh1 0.0000 0.0000 0.3763
```

Calculated values
Offset from the most stable computed form in eV/atom: 0.154
Crystal system: trigonal

---

The following is a GGA-PBE calculation of a geometry-optimized BAuO2 structure, from the Alexandria database.

Structure (CIF):
```
data_BAuO2
_cell_length_a 3.0598
_cell_length_b 3.0598
_cell_length_c 18.7378
_cell_angle_alpha 90.00
_cell_angle_beta 90.00
_cell_angle_gamma 120.00
_symmetry_space_group_name_H-M 'R -3 m'
_symmetry_Int_Tables_number 166
_symmetry_space_group_name_Hall '-R 3 2"'
loop_
_atom_site_label
_atom_site_fract_x
_atom_site_fract_y
_atom_site_fract_z
B1 0.0000 0.0000 0.0000
Au1 0.0000 0.0000 0.5000
O1 0.0000 0.0000 0.0674
```

Calculated values
Crystal system: trigonal
Formation energy from raw total energies in eV/atom: -0.80

---

The following is a GGA-PBE calculation of a geometry-optimized NbIrSe2N structure, from the Alexandria database.

Structure (CIF):
```
data_NbIrSe2N
_cell_length_a 5.1167
_cell_length_b 5.1167
_cell_length_c 3.7757
_cell_angle_alpha 90.00
_cell_angle_beta 90.00
_cell_angle_gamma 90.00
_symmetry_space_group_name_H-M 'P 4/m m m'
_symmetry_Int_Tables_number 123
_symmetry_space_group_name_Hall '-P 4 2'
loop_
_atom_site_label
_atom_site_fract_x
_atom_site_fract_y
_atom_site_fract_z
Nb1 0.0000 0.0000 0.0000
Ir1 0.5000 0.5000 0.5000
Se1 0.0000 0.5000 0.0000
N1 0.0000 0.0000 0.5000
```

Calculated values
Offset from the most stable computed form in eV/atom: 0.266
Crystal system: tetragonal
Formation energy from raw total energies in eV/atom: 0.77

---

The following is a GGA-PBE calculation of a geometry-optimized BeZnBr2 structure, from the Alexandria database.

Structure (CIF):
```
data_BeZnBr2
_cell_length_a 6.8822
_cell_length_b 6.8822
_cell_length_c 6.8822
_cell_angle_alpha 90.00
_cell_angle_beta 90.00
_cell_angle_gamma 90.00
_symmetry_space_group_name_H-M 'F m -3 m'
_symmetry_Int_Tables_number 225
_symmetry_space_group_name_Hall '-F 4 2 3'
loop_
_atom_site_label
_atom_site_fract_x
_atom_site_fract_y
_atom_site_fract_z
Be1 0.0000 0.0000 0.0000
Zn1 0.0000 0.0000 0.5000
Br1 0.2500 0.2500 0.2500
```

Calculated values
Offset from the most stable computed form in eV/atom: 0.788
Crystal system: cubic
Formation energy from raw total energies in eV/atom: 0.43

---

The following is a GGA-PBE calculation of a geometry-optimized RbInHg2Te structure, from the Alexandria database.

Structure (CIF):
```
data_RbInHg2Te
_cell_length_a 5.7398
_cell_length_b 5.7398
_cell_length_c 6.1047
_cell_angle_alpha 90.00
_cell_angle_beta 90.00
_cell_angle_gamma 90.00
_symmetry_space_group_name_H-M 'P 4/m m m'
_symmetry_Int_Tables_number 123
_symmetry_space_group_name_Hall '-P 4 2'
loop_
_atom_site_label
_atom_site_fract_x
_atom_site_fract_y
_atom_site_fract_z
Rb1 0.0000 0.0000 0.0000
In1 0.5000 0.5000 0.5000
Hg1 0.0000 0.5000 0.5000
Te1 0.5000 0.5000 0.0000
```

Calculated values
Crystal system: tetragonal
Formation energy from raw total energies in eV/atom: -0.29

---

The following is a GGA-PBE calculation of a geometry-optimized ScCr2Mo structure, from the Alexandria database.

Structure (CIF):
```
data_ScCr2Mo
_cell_length_a 2.5963
_cell_length_b 4.5464
_cell_length_c 5.0723
_cell_angle_alpha 90.00
_cell_angle_beta 90.00
_cell_angle_gamma 90.00
_symmetry_space_group_name_H-M 'P m m 2'
_symmetry_Int_Tables_number 25
loop_
_symmetry_equiv_pos_as_xyz
'x,y,z'
'-x,-y,z'
'-x,y,z'
'x,-y,z'
loop_
_atom_site_label
_atom_site_fract_x
_atom_site_fract_y
_atom_site_fract_z
Sc1 0.0000 0.0000 0.0000
Cr1 0.0000 0.0000 0.4904
Cr2 0.5000 0.5000 0.2371
Mo1 0.5000 0.5000 0.7232
```

Calculated values
Offset from the most stable computed form in eV/atom: 0.276
Crystal system: orthorhombic